{"formula": "Cd5Sn", "functional": "PBE", "state": "relaxed", "lattice": [[-0.246, 3.534, 2.746], [-4.557, -0.419, 0.131], [2.821, -3.980, 5.376]], "species": ["Sn", "Cd", "Cd", "Cd", "Cd", "Cd"], "fractional_positions": [[0.000, 0.000, 0.000], [0.500, 0.829, 0.659], [0.000, 0.670, 0.340], [0.500, 0.500, 0.000], [0.000, 0.330, 0.660], [0.500, 0.171, 0.341]], "e_tot_ha_per_atom": -0.05135, "e_above_lowest_polymorph_ev_per_atom": 0.007, "spacegroup": "Cmmm", "vol_a3_per_atom": 23.6, "rho_g_cm3": 8.0, "delta_e_f_ev_per_atom": 0.033}

{"formula": "Zn2Cu2Bi", "functional": "PBE", "state": "relaxed", "lattice": [[7.698, 0.000, 0.000], [0.000, 7.698, 0.000], [0.000, 0.000, 2.896]], "species": ["Zn", "Zn", "Zn", "Zn", "Bi", "Bi", "Cu", "Cu", "Cu", "Cu"], "fractional_positions": [[0.380, 0.880, 0.000], [0.880, 0.620, 0.000], [0.620, 0.120, 0.000], [0.120, 0.380, 0.000], [0.000, 0.000, 0.000], [0.500, 0.500, 0.000], [0.169, 0.669, 0.500], [0.669, 0.831, 0.500], [0.831, 0.331, 0.500], [0.331, 0.169, 0.500]], "e_tot_ha_per_atom": -0.10118, "e_above_lowest_polymorph_ev_per_atom": 0.072, "spacegroup": "P4/mbm", "vol_a3_per_atom": 17.2, "rho_g_cm3": 9.0, "delta_e_f_ev_per_atom": 0.171}

{"formula": "Mg4SnAu", "functional": "PBE", "state": "relaxed", "lattice": [[-3.436, 0.318, -3.139], [-3.104, -3.452, -0.418], [-6.686, 2.380, 4.094]], "species": ["Mg", "Mg", "Mg", "Mg", "Sn", "Au"], "fractional_positions": [[0.629, 0.630, 0.111], [0.371, 0.370, 0.889], [0.118, 0.119, 0.644], [0.882, 0.881, 0.356], [0.500, 0.500, 0.500], [0.000, 0.000, 0.000]], "e_tot_ha_per_atom": -0.09463, "e_above_lowest_polymorph_ev_per_atom": 0.047, "spacegroup": "C2/m", "vol_a3_per_atom": 24.3, "rho_g_cm3": 4.7, "delta_e_f_ev_per_atom": -0.298}